Entry from Alexandria: an optimized crystal structure of Li2Mg2Cu (PBE).

Results
**E_form**: -0.079 eV per atom
**Distance to the lowest polymorph of the same formula**: 0 meV per atom
**E**: -2.301 eV/atom

abc: 4.5571 4.5571 14.5536
angles: 90.00 90.00 120.00
Last column: nearest neighbours and their distance in Å.
Space group R-3m (No. 166, hexagonal axes)
Symmetry-distinct sites (fractional):
Li: 0.0000 0.0000 0.1863 [6 per cell]  3 Li 2.69, 1 Cu 2.71, 4 Mg 2.94-2.97
Mg: 0.0000 0.0000 0.3902 [6 per cell]  3 Cu 2.76, 4 Li 2.94-2.97
Cu: 0.0000 0.0000 0.0000 [3 per cell]  2 Li 2.71, 6 Mg 2.76

Entry from Alexandria: an optimized crystal structure of Li2Mg3Cu (PBE).

Results
**E_form**: 0.081 eV per atom
**E**: -2.037 eV/atom

abc: 8.8977 10.7404 5.3908
angles: 90.00 90.00 90.00
Last column: nearest neighbours and their distance in Å.
Space group Cmcm (No. 63)
Symmetry-distinct sites (fractional):
Li: 0.2382 0.0000 0.0000 [8 per cell]  2 Li 2.70, 2 Cu 2.75
Mg: 0.0000 0.3103 0.2500 [4 per cell]  1 Cu 2.59
Mg: 0.1682 0.2485 0.7500 [8 per cell]  1 Cu 2.62
Cu: 0.0000 0.4487 0.7500 [4 per cell]  3 Mg 2.59-2.62, 4 Li 2.75

Entry from Alexandria: an optimized crystal structure of Li5Mg4Cu2 (PBE).

Results
**E_form**: -0.039 eV per atom
**E**: -2.233 eV/atom

abc: 7.4261 3.0780 9.1065
angles: 90.00 93.98 90.00
Last column: nearest neighbours and their distance in Å.
Space group P2/m (No. 10)
Symmetry-distinct sites (fractional):
Li: 0.0000 0.0000 0.0000 [1 per cell]  6 Li 2.83-3.08, 4 Mg 3.10
Li: 0.0573 0.0000 0.3216 [2 per cell]  1 Cu 2.80, 4 Li 2.93-3.08, 4 Mg 3.02-3.12
Li: 0.3177 0.0000 0.8455 [2 per cell]  1 Cu 2.75, 4 Li 2.83-3.08, 6 Mg 3.01-3.05
Mg: 0.2686 0.5000 0.5620 [2 per cell]  4 Cu 2.72-2.73, 4 Li 3.01-3.02
Mg: 0.3332 0.5000 0.1349 [2 per cell]  2 Cu 2.67
Cu: 0.4346 0.0000 0.3659 [2 per cell]  1 Cu 2.57, 6 Mg 2.67-2.73, 2 Li 2.75-2.80

Entry from Alexandria: an optimized crystal structure of Li4MgCu (PBE).

Results
**E_form**: 0.120 eV per atom
**Distance to the lowest polymorph of the same formula**: 122 meV per atom
**E**: -2.104 eV/atom

abc: 7.3441 7.3441 7.3441
angles: 90.00 90.00 90.00
Last column: nearest neighbours and their distance in Å.
Space group F-43m (No. 216)
Symmetry-distinct sites (fractional):
Li: 0.1240 0.1240 0.3760 [16 per cell]  6 Li 2.58-2.62
Mg: 0.0000 0.0000 0.0000 [4 per cell]  12 Li 3.05, 4 Cu 3.18
Cu: 0.2500 0.2500 0.7500 [4 per cell]  12 Li 3.04, 4 Mg 3.18

Entry from Alexandria: an optimized crystal structure of LiMg2Cu9 (PBE).

Results
**E_form**: -0.052 eV per atom
**E**: -3.549 eV/atom

abc: 4.9372 4.9372 24.2602
angles: 90.00 90.00 120.00
Last column: nearest neighbours and their distance in Å.
Space group R-3m (No. 166, hexagonal axes)
Symmetry-distinct sites (fractional):
Li: 0.0000 0.0000 0.0000 [3 per cell]  6 Cu 2.85
Mg: 0.0000 0.0000 0.1424 [6 per cell]  12 Cu 2.84-2.94, 3 Mg 3.08
Cu: 0.0000 0.0000 0.3334 [6 per cell]  6 Cu 2.49-2.50
Cu: 0.0000 0.0000 0.5000 [3 per cell]  6 Cu 2.46
Cu: 0.0037 0.5018 0.9157 [18 per cell]  7 Cu 2.44-2.50

Entry from Alexandria: an optimized crystal structure of Li2Mg6Cu (PBE).

Results
**E_form**: -0.047 eV per atom
**Distance to the lowest polymorph of the same formula**: 0 meV per atom
**E**: -1.990 eV/atom

abc: 4.7902 4.7902 8.8445
angles: 90.00 90.00 120.00
Last column: nearest neighbours and their distance in Å.
Space group P-3m1 (No. 164)
Symmetry-distinct sites (fractional):
Li: 0.3333 0.6667 0.2776 [2 per cell]  8 Mg 2.79-2.99
Mg: 0.0000 0.0000 0.1922 [2 per cell]  1 Cu 2.72, 3 Li 2.87, 3 Mg 3.02
Mg: 0.3333 0.6667 0.5933 [2 per cell]  4 Li 2.79-2.99, 3 Cu 2.89, 1 Mg 3.11
Mg: 0.3333 0.6667 0.9450 [2 per cell]  7 Mg 2.93-3.11, 1 Li 2.94
Cu: 0.0000 0.0000 0.5000 [1 per cell]  8 Mg 2.72-2.89

Entry from Alexandria: an optimized crystal structure of Li2MgCu (PBE).

Results
**E_form**: 0.006 eV per atom
**E**: -2.374 eV/atom

abc: 2.9768 2.9768 7.5095
angles: 90.00 90.00 90.00
Last column: nearest neighbours and their distance in Å.
Space group P4/mmm (No. 123)
Symmetry-distinct sites (fractional):
Li: 0.0000 0.0000 0.2059 [2 per cell]  4 Cu 2.61
Mg: 0.5000 0.5000 0.5000 [1 per cell]  4 Mg 2.98, 8 Li 3.05
Cu: 0.5000 0.5000 0.0000 [1 per cell]  8 Li 2.61

Entry from Alexandria: an optimized crystal structure of Li2MgCu (PBE).

Results
**E_form**: -0.048 eV per atom
**E**: -2.427 eV/atom

abc: 7.9021 4.4065 4.4105
angles: 90.00 123.41 90.00
Last column: nearest neighbours and their distance in Å.
Space group Cm (No. 8)
Symmetry-distinct sites (fractional):
Li: 0.0000 0.0000 0.0000 [2 per cell]  4 Li 2.73-2.77, 4 Mg 2.75-2.76
Li: 0.2494 0.0000 0.7516 [2 per cell]  4 Li 2.73-2.77, 4 Cu 2.74-2.77
Mg: 0.2503 0.5000 0.2521 [2 per cell]  4 Li 2.75-2.76, 4 Cu 2.75-2.76
Cu: 0.9996 0.5000 0.5036 [2 per cell]  4 Li 2.74-2.77, 4 Mg 2.75-2.76

Entry from Alexandria: an optimized crystal structure of Li6MgCu5 (PBE).

Results
**E_form**: -0.007 eV per atom
**E**: -2.803 eV/atom

abc: 9.6009 8.7438 4.3078
angles: 90.00 112.10 90.00
Last column: nearest neighbours and their distance in Å.
Space group C2/m (No. 12)
Symmetry-distinct sites (fractional):
Li: 0.2361 0.1730 0.2396 [8 per cell]  3 Cu 2.47-2.75, 4 Li 2.54-2.66
Li: 0.2444 0.0000 0.7536 [4 per cell]  6 Li 2.61-2.87, 5 Cu 2.61-2.92
Mg: 0.0000 0.5000 0.5000 [2 per cell]  6 Cu 2.67-2.94, 4 Li 2.80
Cu: 0.0000 0.0000 0.0000 [2 per cell]  6 Cu 2.58-2.79, 4 Li 2.59
Cu: 0.0000 0.1634 0.5000 [4 per cell]  4 Cu 2.55-2.58, 4 Li 2.61-2.75
Cu: 0.0000 0.3193 0.0000 [4 per cell]  2 Li 2.47, 2 Cu 2.55, 2 Mg 2.67

Entry from Alexandria: an optimized crystal structure of Li15Mg2Cu2 (PBE).

Results
**E_form**: 0.065 eV per atom
**E**: -2.045 eV/atom

abc: 8.7655 8.7655 15.4025
angles: 90.00 90.00 120.00
Last column: nearest neighbours and their distance in Å.
Space group R-3m (No. 166, hexagonal axes)
Symmetry-distinct sites (fractional):
Li: 0.0000 0.2754 0.0000 [18 per cell]  4 Li 2.41-2.63
Li: 0.0000 0.5000 0.5000 [9 per cell]  2 Cu 2.82, 8 Li 2.87-3.02, 2 Mg 3.04
Li: 0.0781 0.5390 0.1062 [18 per cell]  4 Li 2.63-2.69
Mg: 0.0000 0.0000 0.2759 [6 per cell]  1 Cu 2.92, 9 Li 3.04-3.21
Cu: 0.0000 0.0000 0.0861 [6 per cell]  1 Cu 2.65, 9 Li 2.75-2.82, 1 Mg 2.92

Entry from Alexandria: an optimized crystal structure of LiMg3Cu (PBE).

Results
**E_form**: -0.080 eV per atom
**Distance to the lowest polymorph of the same formula**: 0 meV per atom
**E**: -2.238 eV/atom

abc: 3.2861 6.6904 8.7162
angles: 78.89 79.29 89.92
Last column: nearest neighbours and their distance in Å.
Space group P-1 (No. 2)
Symmetry-distinct sites (fractional):
Li: 0.0945 0.0452 0.3123 [2 per cell]  8 Mg 2.87-2.94, 1 Li 3.15
Mg: 0.3096 0.1690 0.8821 [2 per cell]  2 Cu 2.76-2.77, 2 Li 2.91
Mg: 0.3140 0.6419 0.8719 [2 per cell]  2 Cu 2.73-2.74, 2 Li 2.87-2.88
Mg: 0.4993 0.2746 0.5013 [2 per cell]  4 Cu 2.74-2.77, 4 Li 2.91-2.94, 1 Mg 3.01
Cu: 0.0955 0.5509 0.3069 [2 per cell]  8 Mg 2.73-2.77

Entry from Alexandria: an optimized crystal structure of Li6Mg3Cu (PBE).

Results
**E_form**: -0.023 eV per atom
**E**: -2.059 eV/atom

abc: 7.1829 4.7635 11.0241
angles: 90.00 101.24 90.00
Last column: nearest neighbours and their distance in Å.
Space group P2_1/m (No. 11)
Symmetry-distinct sites (fractional):
Li: 0.0387 0.2500 0.3122 [2 per cell]  5 Li 2.78-3.01, 2 Cu 2.88, 1 Mg 2.91
Li: 0.1452 0.7500 0.9787 [2 per cell]  3 Li 2.57-2.77, 3 Cu 2.78-2.88, 1 Mg 2.85
Li: 0.1535 0.7500 0.4767 [2 per cell]  4 Li 2.85-3.01, 4 Mg 2.86-2.94
Li: 0.2140 0.2500 0.1087 [2 per cell]  5 Li 2.57-2.78
Li: 0.4306 0.2500 0.9319 [2 per cell]  1 Cu 2.68, 3 Li 2.72-2.89, 2 Mg 2.83
Li: 0.4486 0.2500 0.4254 [2 per cell]  4 Li 2.85-2.97, 4 Mg 2.94-3.04
Mg: 0.2411 0.2500 0.6342 [2 per cell]  1 Cu 2.75, 4 Li 2.86-2.98, 2 Mg 2.97
Mg: 0.3224 0.7500 0.2588 [2 per cell]  1 Cu 2.73, 6 Li 2.89-3.04
Mg: 0.3668 0.7500 0.7905 [2 per cell]  7 Li 2.83-3.12, 2 Mg 2.97
Cu: 0.0598 0.2500 0.8321 [2 per cell]  6 Li 2.68-2.88, 2 Mg 2.73-2.75

Entry from Alexandria: an optimized crystal structure of Li5Mg4Cu (PBE).

Results
**E_form**: -0.047 eV per atom
**E**: -2.052 eV/atom

abc: 14.3580 4.6587 5.8416
angles: 90.00 107.69 90.00
Last column: nearest neighbours and their distance in Å.
Space group C2/m (No. 12)
Symmetry-distinct sites (fractional):
Li: 0.0000 0.0000 0.0000 [2 per cell]  6 Li 2.82-2.86, 2 Cu 2.92
Li: 0.1005 0.5000 0.9137 [4 per cell]  6 Mg 2.84-2.95, 2 Li 2.86
Li: 0.1952 0.0000 0.3010 [4 per cell]  1 Li 2.82, 7 Mg 2.87-3.00
Mg: 0.0922 0.5000 0.4115 [4 per cell]  2 Cu 2.80, 6 Li 2.84-3.00, 1 Mg 3.12
Mg: 0.1933 0.0000 0.7911 [4 per cell]  1 Cu 2.78, 7 Li 2.87-2.97
Cu: 0.0000 0.0000 0.5000 [2 per cell]  6 Mg 2.78-2.80, 2 Li 2.92

Entry from Alexandria: an optimized crystal structure of Li15Mg4Cu (PBE).

Results
**E_form**: -0.016 eV per atom
**E**: -1.975 eV/atom

abc: 4.3946 4.3946 19.7282
angles: 90.00 90.00 90.00
Last column: nearest neighbours and their distance in Å.
Space group P4/mmm (No. 123)
Symmetry-distinct sites (fractional):
Li: 0.0000 0.0000 0.0000 [1 per cell]  8 Li 2.70
Li: 0.0000 0.0000 0.1834 [2 per cell]  8 Li 3.00-3.01, 4 Mg 3.11
Li: 0.0000 0.0000 0.3940 [2 per cell]  8 Li 3.03, 4 Mg 3.11
Li: 0.0000 0.5000 0.0799 [4 per cell]  4 Li 2.70-3.00, 2 Cu 2.70, 2 Mg 2.97
Li: 0.0000 0.5000 0.2879 [4 per cell]  8 Li 3.01-3.11, 4 Mg 3.04
Li: 0.0000 0.5000 0.5000 [2 per cell]  4 Mg 3.02, 8 Li 3.03-3.11
Mg: 0.5000 0.5000 0.1813 [2 per cell]  12 Li 2.97-3.11
Mg: 0.5000 0.5000 0.3948 [2 per cell]  12 Li 3.02-3.11
Cu: 0.5000 0.5000 0.0000 [1 per cell]  8 Li 2.70

Entry from Alexandria: an optimized crystal structure of Li6Mg2Cu (PBE).

Results
**E_form**: 0.028 eV per atom
**Distance to the lowest polymorph of the same formula**: 12 meV per atom
**E**: -2.057 eV/atom

abc: 6.1904 12.5877 4.3503
angles: 90.00 90.00 90.00
Last column: nearest neighbours and their distance in Å.
Space group Cmmm (No. 65)
Symmetry-distinct sites (fractional):
Li: 0.2156 0.1405 0.0000 [8 per cell]  1 Cu 2.50, 2 Li 2.67-2.79
Li: 0.2422 0.0000 0.5000 [4 per cell]  2 Cu 2.70, 5 Li 2.81-3.00
Mg: 0.0000 0.2811 0.5000 [4 per cell]  10 Li 2.97-3.18, 2 Mg 3.19
Cu: 0.0000 0.5000 0.0000 [2 per cell]  8 Li 2.50-2.70

Entry from Alexandria: an optimized crystal structure of Li2Mg8Cu (PBE).

Results
**E_form**: 0.001 eV per atom
**Distance to the lowest polymorph of the same formula**: 6 meV per atom
**E**: -1.879 eV/atom

abc: 4.8675 6.7027 14.1831
angles: 90.00 90.00 90.00
Last column: nearest neighbours and their distance in Å.
Space group Immm (No. 71)
Symmetry-distinct sites (fractional):
Li: 0.0000 0.0000 0.1890 [4 per cell]  10 Mg 2.98-3.13
Mg: 0.0000 0.2417 0.0000 [4 per cell]  2 Cu 2.99, 7 Mg 3.05-3.24, 2 Li 3.13
Mg: 0.0000 0.2704 0.3659 [8 per cell]  1 Cu 2.63
Mg: 0.0000 0.5000 0.1770 [4 per cell]  8 Mg 3.05-3.09, 4 Li 3.09-3.36
Cu: 0.0000 0.0000 0.5000 [2 per cell]  4 Mg 2.63

Entry from Alexandria: an optimized crystal structure of Li4MgCu (PBE).

Results
**E_form**: -0.002 eV per atom
**Distance to the lowest polymorph of the same formula**: 0 meV per atom
**E**: -2.226 eV/atom

abc: 2.9961 2.9961 11.8200
angles: 90.00 90.00 90.00
Last column: nearest neighbours and their distance in Å.
Space group P4/mmm (No. 123)
Symmetry-distinct sites (fractional):
Li: 0.0000 0.0000 0.1304 [2 per cell]  4 Cu 2.62
Li: 0.5000 0.5000 0.3123 [2 per cell]  8 Li 3.00-3.02, 4 Mg 3.07
Mg: 0.0000 0.0000 0.5000 [1 per cell]  4 Mg 3.00, 8 Li 3.07
Cu: 0.5000 0.5000 0.0000 [1 per cell]  8 Li 2.62

Entry from Alexandria: an optimized crystal structure of LiMg5Cu4 (PBE).

Results
**E_form**: -0.092 eV per atom
**E**: -2.720 eV/atom

abc: 3.2173 3.2173 15.8661
angles: 90.00 90.00 90.00
Last column: nearest neighbours and their distance in Å.
Space group P4/mmm (No. 123)
Symmetry-distinct sites (fractional):
Li: 0.0000 0.0000 0.0000 [1 per cell]  8 Mg 2.94, 4 Li 3.22
Mg: 0.5000 0.5000 0.1172 [2 per cell]  4 Cu 2.73, 4 Li 2.94, 1 Mg 3.03
Mg: 0.5000 0.5000 0.3079 [2 per cell]  8 Cu 2.73-2.74, 2 Mg 3.03-3.05
Mg: 0.5000 0.5000 0.5000 [1 per cell]  8 Cu 2.73, 2 Mg 3.05
Cu: 0.0000 0.0000 0.2125 [2 per cell]  8 Mg 2.73, 1 Cu 3.05
Cu: 0.0000 0.0000 0.4045 [2 per cell]  8 Mg 2.73-2.74, 2 Cu 3.03-3.05

Entry from Alexandria: an optimized crystal structure of Li2MgCu2 (PBE).

Results
**E_form**: 0.067 eV per atom
**Distance to the lowest polymorph of the same formula**: 114 meV per atom
**E**: -2.656 eV/atom

abc: 3.6803 3.6803 11.8437
angles: 90.00 90.00 90.00
Last column: nearest neighbours and their distance in Å.
Space group I4/mmm (No. 139)
Symmetry-distinct sites (fractional):
Li: 0.0000 0.5000 0.2500 [4 per cell]  4 Cu 2.57, 4 Li 2.60
Mg: 0.0000 0.0000 0.0000 [2 per cell]  8 Cu 2.85
Cu: 0.0000 0.0000 0.4013 [4 per cell]  1 Cu 2.34, 4 Li 2.57

Entry from Alexandria: an optimized crystal structure of Li2MgCu (PBE).

Results
**E_form**: -0.044 eV per atom
**E**: -2.424 eV/atom

abc: 10.0512 3.2559 4.4474
angles: 90.00 115.11 90.00
Last column: nearest neighbours and their distance in Å.
Space group C2/m (No. 12)
Symmetry-distinct sites (fractional):
Li: 0.2268 0.0000 0.2261 [4 per cell]  2 Cu 2.63, 4 Li 2.78-2.80
Mg: 0.0000 0.0000 0.5000 [2 per cell]  4 Cu 2.76, 8 Li 2.97-3.06
Cu: 0.0000 0.5000 0.0000 [2 per cell]  4 Li 2.63, 4 Mg 2.76